Record 1
This record from the Alexandria database describes a relaxed HfGaBi2 crystal. The functional is PBE.

Properties
Magnetic moment: 0.00 μB per cell
Energy: -77.465 eV/cell

a b c (Å): 6.702 6.702 13.215
angles (deg): 90.00 90.00 90.00
Space group I-42d (No. 122)
Unique sites:
Hf1 0.000 0.000 0.000
Ga1 0.000 0.000 0.500
Bi1 0.249 0.250 0.125

=====

Record 2
This record from the Alexandria database describes a relaxed CrH crystal. The functional is PBE.

Properties
Magnetic moment: 0.00 μB per cell
Energy: -50.250 eV/cell

a b c (Å): 4.428 4.428 3.012
angles (deg): 90.00 90.00 90.00
Space group P4_2/mnm (No. 136)
Unique sites:
Cr1 0.213 0.213 0.000
H1 0.167 0.833 0.000

=====

Record 3
This record from the Alexandria database describes a relaxed ThScO crystal. The functional is PBE.

Properties
Formation energy (no corrections): -1.14 eV/atom
Magnetic moment: 0.33 μB per cell
Energy relative to the lowest polymorph listed for this composition: 0.518 eV/atom
Energy: -88.528 eV/cell

a b c (Å): 3.686 3.686 17.453
angles (deg): 90.00 90.00 90.00
Space group I4/mmm (No. 139)
Unique sites:
Th1 0.000 0.000 0.176
Sc1 0.000 0.500 0.000
O1 0.000 0.000 0.426